# 1
# ScGe2Pt6 | Alexandria | GGA-PBE | relaxed
data_ScGe2Pt6
_chemical_formula_sum 'Sc2 Ge4 Pt12'
_space_group_name_H-M_alt 'A m m 2'
_space_group_IT_number 38
_cell_length_a 3.678
_cell_length_b 11.170
_cell_length_c 7.404
_cell_angle_alpha 90.00
_cell_angle_beta 90.00
_cell_angle_gamma 90.00
loop_
_space_group_symop_operation_xyz
'x,y,z'
'-x,-y,z'
'-x,y,z'
'x,-y,z'
'x,y+1/2,z+1/2'
'-x,-y+1/2,z+1/2'
'-x,y+1/2,z+1/2'
'x,-y+1/2,z+1/2'
loop_
_atom_site_label
_atom_site_type_symbol
_atom_site_fract_x
_atom_site_fract_y
_atom_site_fract_z
Sc1 Sc 0.000 0.000 0.000
Ge1 Ge 0.500 0.130 0.712
Pt1 Pt 0.000 0.000 0.579
Pt2 Pt 0.000 0.186 0.318
Pt3 Pt 0.500 0.000 0.278
Pt4 Pt 0.500 0.186 0.031
# DOS(E_F) = 12.367 states/eV per cell
# Size of the total moment = 0.00 μB per cell
# Density = 14.86 g/cm³
# Energy relative to the elements = -0.492 eV/atom

=====

# 2
# ScGe2Pt2 | Alexandria | GGA-PBE | relaxed
data_ScGe2Pt2
_chemical_formula_sum 'Sc2 Ge4 Pt4'
_space_group_name_H-M_alt 'P 4/m b m'
_space_group_IT_number 127
_space_group_name_Hall '-P 4 2ab'
_cell_length_a 7.474
_cell_length_b 7.474
_cell_length_c 3.078
_cell_angle_alpha 90.00
_cell_angle_beta 90.00
_cell_angle_gamma 90.00
loop_
_atom_site_label
_atom_site_type_symbol
_atom_site_fract_x
_atom_site_fract_y
_atom_site_fract_z
Sc1 Sc 0.000 0.000 0.000
Ge1 Ge 0.145 0.355 0.000
Pt1 Pt 0.153 0.653 0.500
# DOS(E_F) = 8.475 states/eV per cell
# Size of the total moment = 1.34 μB per cell
# Density = 11.21 g/cm³
# Energy relative to the elements = -0.474 eV/atom